1.
Be2FeNi8 PBE relaxed; SG = No. 71; DFT formation energy = -98 meV per atom; N(E_F) = 9.79 states/eV/cell; size of the total moment = 5.41 μB/f.u.
1.0
-1.785 3.020 5.377
1.785 -3.020 5.377
1.785 3.020 -5.377
Be Fe Ni
2 1 8
direct
0.197 0.197 0.000
0.803 0.803 0.000
0.500 0.500 0.000
0.052 0.339 0.714
0.196 0.000 0.196
0.349 0.849 0.500
0.375 0.661 0.714
0.625 0.339 0.286
0.651 0.151 0.500
0.804 0.000 0.804
0.948 0.661 0.286


2.
NaSr2SmO4 PBE relaxed; SG = No. 10; N(E_F) = 0.00 states/eV/cell; formation energy (no corrections) = -2.653 eV per atom; size of the total moment = 0.00 μB/f.u.
1.0
6.132 0.000 0.000
0.000 3.606 0.000
-1.941 0.000 5.850
Na Sr Sm O
1 2 1 4
direct
0.000 0.000 0.000
0.000 0.500 0.500
0.500 0.000 0.500
0.500 0.500 0.000
0.269 0.000 0.769
0.271 0.500 0.247
0.729 0.500 0.753
0.731 0.000 0.231


3.
Pr6Er2In3 PBE relaxed; SG = No. 139; DFT formation energy = 181 meV per atom; N(E_F) = 7.64 states/eV/cell; size of the total moment = 0.00 μB/f.u.
1.0
-2.769 2.769 12.310
2.769 -2.769 12.310
2.769 2.769 -12.310
Pr Er In
6 2 3
direct
0.098 0.598 0.500
0.198 0.198 0.000
0.402 0.902 0.500
0.598 0.098 0.500
0.802 0.802 0.000
0.902 0.402 0.500
0.058 0.058 0.000
0.942 0.942 0.000
0.328 0.328 0.000
0.500 0.500 0.000
0.672 0.672 0.000


4.
Tm11In9Cu4 PBE relaxed; SG = No. 65; DFT formation energy = -430 meV per atom; N(E_F) = 14.45 states/eV/cell; size of the total moment = 0.00 μB/f.u.
1.0
7.174 -10.801 0.000
7.174 10.801 0.000
0.000 0.000 3.648
Tm In Cu
11 9 4
direct
0.000 0.000 0.000
0.074 0.415 0.000
0.160 0.840 0.000
0.309 0.309 0.000
0.372 0.628 0.000
0.415 0.074 0.000
0.585 0.926 0.000
0.628 0.372 0.000
0.691 0.691 0.000
0.840 0.160 0.000
0.926 0.585 0.000
0.073 0.218 0.500
0.155 0.631 0.500
0.218 0.073 0.500
0.369 0.845 0.500
0.500 0.500 0.500
0.631 0.155 0.500
0.782 0.927 0.500
0.845 0.369 0.500
0.927 0.782 0.500
0.250 0.450 0.500
0.450 0.250 0.500
0.550 0.750 0.500
0.750 0.550 0.500


5.
Na2NbFe PBE relaxed; SG = No. 225; DFT formation energy = 1684 meV per atom; offset from the most stable computed form = 380 meV per atom; N(E_F) = 23.75 states/eV/cell; size of the total moment = 0.00 μB/f.u.
1.0
6.631 0.000 0.000
0.000 6.631 0.000
0.000 0.000 6.631
Na Nb Fe
8 4 4
direct
0.250 0.250 0.250
0.250 0.250 0.750
0.250 0.750 0.250
0.250 0.750 0.750
0.750 0.250 0.250
0.750 0.250 0.750
0.750 0.750 0.250
0.750 0.750 0.750
0.000 0.000 0.000
0.000 0.500 0.500
0.500 0.000 0.500
0.500 0.500 0.000
0.000 0.000 0.500
0.000 0.500 0.000
0.500 0.000 0.000
0.500 0.500 0.500


6.
NdInGe2Pt5 PBE relaxed; SG = No. 123; DFT formation energy = -546 meV per atom; N(E_F) = 2.88 states/eV/cell; size of the total moment = 0.00 μB/f.u.
1.0
4.419 0.000 0.000
0.000 4.419 0.000
0.000 0.000 8.714
Nd In Ge Pt
1 1 2 5
direct
0.000 0.000 0.000
0.000 0.000 0.500
0.500 0.500 0.360
0.500 0.500 0.640
0.000 0.500 0.234
0.000 0.500 0.766
0.500 0.000 0.234
0.500 0.000 0.766
0.500 0.500 0.000


7.
Ac2HgAu6 PBE relaxed; SG = No. 191; DFT formation energy = -496 meV per atom; offset from the most stable computed form = 77 meV per atom; N(E_F) = 5.82 states/eV/cell; size of the total moment = 0.00 μB/f.u.
1.0
8.268 0.000 0.000
-4.134 7.160 0.000
0.000 0.000 3.934
Ac Hg Au
2 1 6
direct
0.333 0.667 0.000
0.667 0.333 0.000
0.000 0.000 0.000
0.000 0.331 0.500
0.000 0.669 0.500
0.331 0.000 0.500
0.331 0.331 0.500
0.669 0.000 0.500
0.669 0.669 0.500


8.
ThCo2W PBE relaxed; SG = No. 166; DFT formation energy = -59 meV per atom; N(E_F) = 10.11 states/eV/cell; size of the total moment = 0.00 μB/f.u.
1.0
4.117 0.000 0.000
-2.058 3.565 0.000
0.000 0.000 14.883
Th Co W
3 6 3
direct
0.000 0.000 0.000
0.333 0.667 0.667
0.667 0.333 0.333
0.000 0.000 0.205
0.000 0.000 0.795
0.333 0.667 0.461
0.333 0.667 0.872
0.667 0.333 0.128
0.667 0.333 0.539
0.000 0.000 0.500
0.333 0.667 0.167
0.667 0.333 0.833


9.
ScCuNi4 PBE relaxed; SG = No. 216; DFT formation energy = -308 meV per atom; N(E_F) = 7.07 states/eV/cell; size of the total moment = 0.32 μB/f.u.
1.0
0.000 3.361 3.361
3.361 0.000 3.361
3.361 3.361 0.000
Sc Cu Ni
1 1 4
direct
0.000 0.000 0.000
0.250 0.250 0.250
0.127 0.624 0.624
0.624 0.127 0.624
0.624 0.624 0.127
0.624 0.624 0.624


10.
LaSi2Sb2 PBE relaxed; SG = No. 139; offset from the most stable computed form = 113 meV per atom; N(E_F) = 6.92 states/eV/cell; formation energy (no corrections) = -0.074 eV per atom; size of the total moment = 0.00 μB/f.u.
1.0
4.393 0.000 0.000
0.000 4.393 0.000
0.000 0.000 13.175
La Si Sb
2 4 4
direct
0.000 0.000 0.000
0.500 0.500 0.500
0.000 0.000 0.415
0.000 0.000 0.585
0.500 0.500 0.085
0.500 0.500 0.915
0.000 0.500 0.250
0.000 0.500 0.750
0.500 0.000 0.250
0.500 0.000 0.750


11.
U2Si4OsPt3 PBE relaxed; SG = No. 115; N(E_F) = 17.51 states/eV/cell; formation energy (no corrections) = -0.724 eV per atom; size of the total moment = 3.79 μB/f.u.
1.0
4.150 0.000 0.000
0.000 4.150 0.000
0.000 0.000 9.924
U Si Os Pt
2 4 1 3
direct
0.000 0.500 0.249
0.500 0.000 0.751
0.000 0.000 0.500
0.000 0.500 0.866
0.500 0.000 0.134
0.500 0.500 0.500
0.500 0.500 0.000
0.000 0.000 0.000
0.000 0.500 0.625
0.500 0.000 0.375


12.
La2FeIr PBE relaxed; SG = No. 122; DFT formation energy = 119 meV per atom; N(E_F) = 21.54 states/eV/cell; size of the total moment = 1.11 μB/f.u.
1.0
7.634 0.000 0.000
0.000 7.634 0.000
0.000 0.000 6.304
La Fe Ir
8 4 4
direct
0.246 0.250 0.125
0.250 0.746 0.375
0.250 0.754 0.875
0.254 0.250 0.625
0.746 0.750 0.625
0.750 0.246 0.875
0.750 0.254 0.375
0.754 0.750 0.125
0.000 0.000 0.000
0.000 0.500 0.250
0.500 0.000 0.750
0.500 0.500 0.500
0.000 0.000 0.500
0.000 0.500 0.750
0.500 0.000 0.250
0.500 0.500 0.000


13.
HfTa3B PBE relaxed; SG = No. 221; DFT formation energy = 2825 meV per atom; offset from the most stable computed form = 2870 meV per atom; N(E_F) = 5.09 states/eV/cell; size of the total moment = 0.00 μB/f.u.
1.0
4.869 0.000 0.000
0.000 4.869 0.000
0.000 0.000 4.869
Hf Ta B
1 3 1
direct
0.000 0.000 0.000
0.000 0.000 0.500
0.000 0.500 0.000
0.500 0.000 0.000
0.500 0.500 0.500


14.
K4Np3InTe8 PBE relaxed; SG = No. 12; N(E_F) = 26.72 states/eV/cell; formation energy (no corrections) = -0.821 eV per atom; size of the total moment = 11.16 μB/f.u.
1.0
7.970 -4.594 0.000
7.970 4.594 0.000
-5.328 0.000 8.108
K Np In Te
4 3 1 8
direct
0.000 0.000 0.000
0.000 0.500 0.000
0.500 0.000 0.000
0.500 0.500 0.000
0.000 0.000 0.500
0.000 0.500 0.500
0.500 0.000 0.500
0.500 0.500 0.500
0.229 0.738 0.705
0.236 0.236 0.709
0.262 0.771 0.295
0.263 0.263 0.296
0.737 0.737 0.704
0.738 0.229 0.705
0.764 0.764 0.291
0.771 0.262 0.295


15.
ZnAg2Te PBE relaxed; SG = No. 12; offset from the most stable computed form = 158 meV per atom; N(E_F) = 1.54 states/eV/cell; formation energy (no corrections) = 0.185 eV per atom; size of the total moment = 0.00 μB/f.u.
1.0
6.159 0.000 0.000
0.000 9.940 0.000
-1.441 0.000 2.737
Zn Ag Te
2 4 2
direct
0.000 0.000 0.000
0.500 0.500 0.000
0.250 0.250 0.000
0.250 0.750 0.000
0.750 0.250 0.000
0.750 0.750 0.000
0.000 0.500 0.000
0.500 0.000 0.000


16.
EuGe2Sb PBE relaxed; SG = No. 123; N(E_F) = 2.23 states/eV/cell; formation energy (no corrections) = -0.366 eV per atom; size of the total moment = 6.77 μB/f.u.
1.0
4.625 0.000 0.000
0.000 4.625 0.000
0.000 0.000 4.385
Eu Ge Sb
1 2 1
direct
0.000 0.000 0.000
0.000 0.500 0.500
0.500 0.000 0.500
0.500 0.500 0.000


17.
Ti6Pt2N PBE relaxed; SG = No. 38; N(E_F) = 9.91 states/eV/cell; formation energy (no corrections) = -0.690 eV per atom; size of the total moment = 0.00 μB/f.u.
1.0
2.981 0.000 0.000
0.000 6.174 3.668
0.000 -6.174 3.668
Ti Pt N
6 2 1
direct
0.000 0.000 0.000
0.000 0.545 0.758
0.000 0.758 0.545
0.500 0.146 0.771
0.500 0.328 0.328
0.500 0.771 0.146
0.000 0.097 0.441
0.000 0.441 0.097
0.500 0.799 0.799


18.
SmCd2Pt PBE relaxed; SG = No. 166; DFT formation energy = 95 meV per atom; N(E_F) = 6.27 states/eV/cell; size of the total moment = 0.00 μB/f.u.
1.0
3.171 0.000 0.000
-1.585 2.746 0.000
0.000 0.000 32.071
Sm Cd Pt
3 6 3
direct
0.000 0.000 0.000
0.333 0.667 0.667
0.667 0.333 0.333
0.000 0.000 0.099
0.000 0.000 0.901
0.333 0.667 0.568
0.333 0.667 0.765
0.667 0.333 0.235
0.667 0.333 0.432
0.000 0.000 0.500
0.333 0.667 0.167
0.667 0.333 0.833


19.
Ag4WSe PBE relaxed; SG = No. 216; N(E_F) = 1.52 states/eV/cell; formation energy (no corrections) = 0.833 eV per atom; size of the total moment = 3.81 μB/f.u.
1.0
0.000 3.870 3.870
3.870 0.000 3.870
3.870 3.870 0.000
Ag W Se
4 1 1
direct
0.125 0.125 0.125
0.125 0.125 0.624
0.125 0.624 0.125
0.624 0.125 0.125
0.500 0.500 0.500
0.750 0.750 0.750


20.
TcHIrCl2 PBE relaxed; SG = No. 123; N(E_F) = 3.39 states/eV/cell; DFT total energy = -19.942 eV for the cell shown; size of the total moment = 4.62 μB/f.u.
1.0
4.946 0.000 0.000
0.000 4.946 0.000
0.000 0.000 4.933
Tc H Ir Cl
1 1 1 2
direct
0.000 0.000 0.000
0.500 0.500 0.000
0.000 0.000 0.500
0.000 0.500 0.500
0.500 0.000 0.500